# 1
PBE-GGA Be2AlCl, optimized geometry; energy relative to the lowest polymorph listed for this composition = 1027 meV/atom; space group = No. 225; raw formation energy = 0.9988 eV per atom; total magnetic moment = 0.000 μB per atom
1.0
0.000 3.156 3.156
3.156 0.000 3.156
3.156 3.156 0.000
Be Al Cl
2 1 1
Direct
0.750 0.750 0.750
0.250 0.250 0.250
0.000 0.000 0.000
0.500 0.500 0.500

# 2
PBE-GGA ZnAgN, optimized geometry; space group = No. 64; raw formation energy = 0.3903 eV per atom; total magnetic moment = 0.000 μB per atom
1.0
3.553 -4.221 0.000
3.553 4.221 0.000
0.000 0.000 6.478
Ag Zn N
4 4 4
Direct
0.156 0.656 0.750
0.844 0.344 0.250
0.656 0.156 0.750
0.344 0.844 0.250
0.334 0.334 0.128
0.166 0.166 0.628
0.666 0.666 0.872
0.834 0.834 0.372
0.124 0.124 0.322
0.624 0.624 0.178
0.876 0.876 0.678
0.376 0.376 0.822

# 3
PBE-GGA Th12H5Ru3, optimized geometry; space group = No. 230; calculated total energy = -6.86 eV/atom; total magnetic moment = 0.000 μB per atom
1.0
-12.842 3.343 1.632
3.658 -8.488 9.661
7.581 10.996 0.621
H Th Ru
20 48 12
Direct
0.875 0.250 0.625
0.875 0.625 0.750
0.500 0.000 0.500
0.500 0.000 0.000
0.750 0.625 0.375
0.625 0.875 0.250
0.375 0.125 0.750
0.375 0.250 0.125
0.250 0.375 0.625
0.750 0.125 0.875
0.625 0.750 0.875
0.000 0.500 0.000
0.125 0.750 0.375
0.000 0.000 0.000
0.125 0.375 0.250
0.500 0.500 0.500
0.000 0.000 0.500
0.500 0.500 0.000
0.000 0.500 0.500
0.250 0.875 0.125
0.717 0.600 0.187
0.412 0.383 0.600
0.529 0.217 0.117
0.687 0.217 0.600
0.100 0.912 0.383
0.687 0.471 0.588
0.529 0.313 0.912
0.600 0.883 0.412
0.588 0.617 0.400
0.971 0.588 0.187
0.783 0.313 0.900
0.813 0.912 0.029
0.883 0.600 0.912
0.971 0.383 0.283
0.029 0.412 0.813
0.900 0.088 0.617
0.088 0.900 0.117
0.471 0.687 0.088
0.813 0.900 0.283
0.783 0.471 0.383
0.187 0.100 0.717
0.283 0.883 0.971
0.283 0.400 0.813
0.883 0.283 0.471
0.100 0.187 0.217
0.588 0.971 0.687
0.088 0.187 0.471
0.617 0.029 0.217
0.029 0.617 0.717
0.117 0.717 0.529
0.412 0.029 0.313
0.600 0.717 0.687
0.383 0.971 0.783
0.187 0.088 0.971
0.383 0.412 0.100
0.400 0.117 0.588
0.617 0.588 0.900
0.912 0.100 0.883
0.717 0.117 0.029
0.912 0.813 0.529
0.400 0.283 0.313
0.313 0.529 0.412
0.471 0.783 0.883
0.117 0.400 0.088
0.217 0.529 0.617
0.313 0.783 0.400
0.217 0.687 0.100
0.900 0.813 0.783
0.375 0.625 0.250
0.875 0.750 0.125
0.250 0.625 0.875
0.750 0.375 0.125
0.875 0.125 0.250
0.750 0.875 0.625
0.125 0.250 0.875
0.250 0.125 0.375
0.375 0.750 0.625
0.625 0.375 0.750
0.625 0.250 0.375
0.125 0.875 0.750

# 4
PBE-GGA Pr2NdCd8, optimized geometry; space group = No. 12; calculated total energy = -2.25 eV/atom; total magnetic moment = 0.000 μB per atom
1.0
-0.608 0.464 -5.333
5.816 -2.911 -0.899
-6.239 -5.975 2.905
Cd Nd Pr
8 1 2
Direct
0.252 0.497 0.000
0.127 0.898 0.250
0.123 0.352 0.250
0.700 0.200 0.400
0.877 0.648 0.750
0.873 0.102 0.750
0.748 0.503 0.000
0.300 0.800 0.600
0.500 0.000 0.000
0.692 0.692 0.383
0.308 0.308 0.617